The following is a DFT calculation (PBE-GGA) of an optimized crystal structure of TcRuPt3.

Unit cell a=4.749 b=4.749 c=4.749 alpha=90.00 beta=90.00 gamma=90.00
Element x y z (fractional)
Ru1 0.500 0.500 0.500
Tc1 0.000 0.000 0.000
Pt1 0.000 0.500 0.000
Pt2 0.000 0.000 0.500
Pt3 0.500 0.000 0.000

Calculated values
size of the total moment	2.541	μB per formula unit
energy relative to the lowest polymorph listed for this composition	169.5	kJ/mol of atoms
calculated volume	107	Å³/f.u.
symmetry	No. 221
total energy	-5.90	eV/atom